Compound: AgPIr
Source: Alexandria via LeMat-Bulk
Functional: PBE
Structure: optimized geometry Values from VASP.

## Properties
For the density of states at the Fermi level, the calculation gives 2.39 states/eV/cell. The value obtained for the energy above the lowest structure with this stoichiometry is 106 meV/atom. As for the space group: P3m1 (156).

Structure (Quantum ESPRESSO input):
```
&SYSTEM
  ibrav = 0, nat = 3, ntyp = 3
/
ATOMIC_SPECIES
Ag 107.87 Ag.upf
P 30.97 P.upf
Ir 192.22 Ir.upf
ATOMIC_POSITIONS crystal
Ag 0.000 0.000 0.000
P 0.333 0.667 0.615
Ir 0.667 0.333 0.370
CELL_PARAMETERS angstrom
2.967 0.000 0.000
-1.483 2.569 0.000
0.000 0.000 6.466
```


Compound: AgPIr2
Source: Alexandria via LeMat-Bulk
Functional: PBE
Structure: optimized geometry Values from VASP.

## Properties
For the density of states at the Fermi level, the calculation gives 3.07 states/eV/cell. The total energy comes out at -6.331 eV/atom. As for the space group: P2/m (10).

Structure (Quantum ESPRESSO input):
```
&SYSTEM
  ibrav = 0, nat = 4, ntyp = 3
/
ATOMIC_SPECIES
Ag 107.87 Ag.upf
P 30.97 P.upf
Ir 192.22 Ir.upf
ATOMIC_POSITIONS crystal
Ag 0.000 0.000 0.000
P 0.500 0.000 0.500
Ir 0.372 0.500 0.722
Ir 0.628 0.500 0.278
CELL_PARAMETERS angstrom
2.994 0.000 0.000
0.000 3.885 0.000
-1.375 0.000 5.204
```


Compound: AgPIr3
Source: Alexandria via LeMat-Bulk
Functional: PBE
Structure: optimized geometry Values from VASP.

## Properties
For the density of states at the Fermi level, the calculation gives 9.96 states/eV/cell. The value obtained for the energy above the lowest structure with this stoichiometry is 2140 meV/atom. As for the space group: Pm-3m (221).

Structure (Quantum ESPRESSO input):
```
&SYSTEM
  ibrav = 0, nat = 5, ntyp = 3
/
ATOMIC_SPECIES
Ag 107.87 Ag.upf
P 30.97 P.upf
Ir 192.22 Ir.upf
ATOMIC_POSITIONS crystal
Ag 0.000 0.000 0.000
P 0.500 0.500 0.500
Ir 0.000 0.000 0.500
Ir 0.000 0.500 0.000
Ir 0.500 0.000 0.000
CELL_PARAMETERS angstrom
4.783 0.000 0.000
0.000 4.783 0.000
0.000 0.000 4.783
```